Material: ZrCdTc2
Method: DFT, PBEsol
State: relaxed

Cell lengths 2.830, 2.830, 29.021 Å; angles 90.00, 90.00, 120.00 degrees
Positions (direct):
Zr 0.000 0.000 0.000
Zr 0.333 0.667 0.667
Zr 0.667 0.333 0.333
Cd 0.000 0.000 0.500
Cd 0.333 0.667 0.167
Cd 0.667 0.333 0.833
Tc 0.000 0.000 0.249
Tc 0.000 0.000 0.751
Tc 0.333 0.667 0.417
Tc 0.333 0.667 0.916
Tc 0.667 0.333 0.084
Tc 0.667 0.333 0.583

Summary:
* magnetization: 0.00 μB per cell
* ΔH_f (0 K): 0.411 eV per atom



Material: ScTeOs2
Method: DFT, PBEsol
State: relaxed

Cell lengths 3.100, 4.645, 9.313 Å; angles 90.00, 90.00, 90.00 degrees
Positions (direct):
Sc 0.000 0.000 0.000
Sc 0.500 0.500 0.500
Te 0.000 0.000 0.500
Te 0.500 0.500 0.000
Os 0.000 0.500 0.235
Os 0.000 0.500 0.765
Os 0.500 0.000 0.265
Os 0.500 0.000 0.735

Summary:
* E_form (uncorrected): 238 meV per atom
* magnetization: 0.00 μB per cell



Material: MnFe4Rh
Method: DFT, PBEsol
State: relaxed

Cell lengths 4.610, 4.610, 4.610 Å; angles 60.00, 60.00, 60.00 degrees
Positions (direct):
Mn 0.000 0.000 0.000
Fe 0.375 0.375 0.375
Fe 0.375 0.375 0.875
Fe 0.375 0.875 0.375
Fe 0.875 0.375 0.375
Rh 0.750 0.750 0.750

Summary:
* magnetization: 5.27 μB per cell
* ΔH_f (0 K): 0.068 eV per atom



Material: ZrScSiSe2
Method: DFT, PBEsol
State: relaxed

Cell lengths 4.819, 4.819, 4.775 Å; angles 90.00, 90.00, 90.00 degrees
Positions (direct):
Zr 0.000 0.000 0.000
Sc 0.500 0.500 0.000
Si 0.500 0.500 0.500
Se 0.000 0.500 0.500
Se 0.500 0.000 0.500

Summary:
* E_form (uncorrected): 277 meV per atom
* magnetization: 0.00 μB per cell



Material: PmSnPt2
Method: DFT, PBEsol
State: relaxed

Cell lengths 6.820, 6.820, 6.820 Å; angles 90.00, 90.00, 90.00 degrees
Positions (direct):
Pm 0.000 0.000 0.000
Pm 0.000 0.500 0.500
Pm 0.500 0.000 0.500
Pm 0.500 0.500 0.000
Sn 0.000 0.000 0.500
Sn 0.000 0.500 0.000
Sn 0.500 0.000 0.000
Sn 0.500 0.500 0.500
Pt 0.250 0.250 0.250
Pt 0.250 0.250 0.750
Pt 0.250 0.750 0.250
Pt 0.250 0.750 0.750
Pt 0.750 0.250 0.250
Pt 0.750 0.250 0.750
Pt 0.750 0.750 0.250
Pt 0.750 0.750 0.750

Summary:
* magnetization: 0.00 μB per cell
* ΔH_f (0 K): -0.797 eV per atom



Material: SiTc2Pb
Method: DFT, PBEsol
State: relaxed

Cell lengths 3.126, 4.172, 5.030 Å; angles 90.00, 90.00, 90.00 degrees
Positions (direct):
Si 0.000 0.000 0.000
Tc 0.000 0.500 0.500
Tc 0.500 0.500 0.000
Pb 0.500 0.000 0.500

Summary:
* E_form (uncorrected): 599 meV per atom
* magnetization: 0.00 μB per cell
* offset from the most stable computed form: 368 meV/atom



Material: AlBi3As
Method: DFT, PBEsol
State: relaxed

Cell lengths 5.491, 5.491, 5.491 Å; angles 90.00, 90.00, 90.00 degrees
Positions (direct):
Al 0.000 0.000 0.000
Bi 0.000 0.500 0.500
Bi 0.500 0.000 0.500
Bi 0.500 0.500 0.000
As 0.500 0.500 0.500

Summary:
* magnetization: 0.00 μB per cell
* ΔH_f (0 K): 0.689 eV per atom



Material: ZrTiPO2
Method: DFT, PBEsol
State: relaxed

Cell lengths 3.764, 3.764, 4.945 Å; angles 90.00, 90.00, 90.00 degrees
Positions (direct):
Zr 0.000 0.000 0.000
Ti 0.500 0.500 0.500
P 0.500 0.500 0.000
O 0.000 0.500 0.500
O 0.500 0.000 0.500

Summary:
* E_form (uncorrected): -1802 meV per atom
* magnetization: 0.00 μB per cell



Material: Ag2Cl
Method: DFT, PBEsol
State: relaxed

Cell lengths 4.317, 4.445, 11.150 Å; angles 90.00, 90.00, 90.00 degrees
Positions (direct):
Ag 0.000 0.000 0.168
Ag 0.000 0.000 0.832
Ag 0.000 0.500 0.332
Ag 0.000 0.500 0.668
Ag 0.500 0.000 0.332
Ag 0.500 0.000 0.668
Ag 0.500 0.500 0.168
Ag 0.500 0.500 0.832
Cl 0.000 0.000 0.500
Cl 0.000 0.500 0.000
Cl 0.500 0.000 0.000
Cl 0.500 0.500 0.500

Summary:
* E_form (uncorrected): -57 meV per atom
* magnetization: 0.00 μB per cell
* offset from the most stable computed form: 138 meV/atom



Material: AlIn2SiNi
Method: DFT, PBEsol
State: relaxed

Cell lengths 5.130, 5.130, 4.338 Å; angles 90.00, 90.00, 90.00 degrees
Positions (direct):
Al 0.000 0.000 0.000
In 0.000 0.500 0.000
In 0.500 0.000 0.000
Si 0.500 0.500 0.500
Ni 0.000 0.000 0.500

Summary:
* E_form (uncorrected): 850 meV per atom
* magnetization: 0.00 μB per cell



Material: Rb3BaAg
Method: DFT, PBEsol
State: relaxed

Cell lengths 6.855, 6.855, 6.855 Å; angles 90.00, 90.00, 90.00 degrees
Positions (direct):
Rb 0.000 0.000 0.500
Rb 0.000 0.500 0.000
Rb 0.500 0.000 0.000
Ba 0.500 0.500 0.500
Ag 0.000 0.000 0.000

Summary:
* magnetization: 0.44 μB per cell
* ΔH_f (0 K): 0.267 eV per atom



Material: BeFe2Os
Method: DFT, PBEsol
State: relaxed

Cell lengths 2.650, 2.650, 5.867 Å; angles 90.00, 90.00, 90.00 degrees
Positions (direct):
Be 0.000 0.000 0.000
Fe 0.500 0.500 0.217
Fe 0.500 0.500 0.783
Os 0.000 0.000 0.500

Summary:
* magnetization: 0.00 μB per cell
* ΔH_f (0 K): -0.055 eV per atom